1.
# Te2AsAu, optimized geometry, DFT PBE-GGA
# - total DFT energy (no corrections) (eV/atom) = -3.254
# - N(E_F) (states/eV/cell) = 3.3
data_Te2AsAu
_chemical_formula_sum 'Te2 As1 Au1'
_space_group_name_H-M_alt 'P m m m'
_space_group_IT_number 47
_cell_length_a 3.946
_cell_length_b 3.962
_cell_length_c 7.565
_cell_angle_alpha 90.00
_cell_angle_beta 90.00
_cell_angle_gamma 90.00
loop_
_space_group_symop_operation_xyz
'x,y,z'
'-x,-y,-z'
'-x,-y,z'
'x,y,-z'
'x,-y,-z'
'-x,y,z'
'-x,y,-z'
'x,-y,z'
loop_
_atom_site_label
_atom_site_fract_x
_atom_site_fract_y
_atom_site_fract_z
Te1 0.000 0.000 0.000
Te2 0.000 0.500 0.500
As1 0.500 0.000 0.500
Au1 0.500 0.500 0.000



2.
# Te4AsAu, optimized geometry, DFT PBE-GGA
# - total DFT energy (no corrections) (eV/atom) = -3.425
# - N(E_F) (states/eV/cell) = 7.5
data_Te4AsAu
_chemical_formula_sum 'Te8 As2 Au2'
_space_group_name_H-M_alt 'C 1 2/m 1'
_space_group_IT_number 12
_cell_length_a 12.824
_cell_length_b 4.260
_cell_length_c 7.249
_cell_angle_alpha 90.00
_cell_angle_beta 123.92
_cell_angle_gamma 90.00
loop_
_space_group_symop_operation_xyz
'x,y,z'
'-x,-y,-z'
'-x,y,-z'
'x,-y,z'
'x+1/2,y+1/2,z'
'-x+1/2,-y+1/2,-z'
'-x+1/2,y+1/2,-z'
'x+1/2,-y+1/2,z'
loop_
_atom_site_label
_atom_site_fract_x
_atom_site_fract_y
_atom_site_fract_z
Te1 0.148 0.000 0.487
Te2 0.149 0.500 0.975
As1 0.000 0.000 0.000
Au1 0.000 0.500 0.500



3.
# Te2As2Au, optimized geometry, DFT PBE-GGA
# - total DFT energy (no corrections) (eV/atom) = -3.456
# - N(E_F) (states/eV/cell) = 6.0
data_Te2As2Au
_chemical_formula_sum 'Te4 As4 Au2'
_space_group_name_H-M_alt 'P 4/m b m'
_space_group_IT_number 127
_space_group_name_Hall '-P 4 2ab'
_cell_length_a 8.126
_cell_length_b 8.126
_cell_length_c 3.915
_cell_angle_alpha 90.00
_cell_angle_beta 90.00
_cell_angle_gamma 90.00
loop_
_atom_site_label
_atom_site_fract_x
_atom_site_fract_y
_atom_site_fract_z
Te1 0.212 0.288 0.000
As1 0.124 0.624 0.500
Au1 0.000 0.000 0.000



4.
# TeAsAu, optimized geometry, DFT PBE-GGA
# - total DFT energy (no corrections) (eV/atom) = -3.386
# - N(E_F) (states/eV/cell) = 7.3
data_TeAsAu
_chemical_formula_sum 'Te4 As4 Au4'
_space_group_name_H-M_alt 'F m m 2'
_space_group_IT_number 42
_space_group_name_Hall 'F 2 -2'
_cell_length_a 3.992
_cell_length_b 5.784
_cell_length_c 12.412
_cell_angle_alpha 90.00
_cell_angle_beta 90.00
_cell_angle_gamma 90.00
loop_
_atom_site_label
_atom_site_fract_x
_atom_site_fract_y
_atom_site_fract_z
Te1 0.000 0.000 0.000
As1 0.000 0.000 0.290
Au1 0.000 0.000 0.659



5.
# Te2As2Au, optimized geometry, DFT PBE-GGA
# - total DFT energy (no corrections) (eV/atom) = -3.516
# - N(E_F) (states/eV/cell) = 3.1
data_Te2As2Au
_chemical_formula_sum 'Te4 As4 Au2'
_space_group_name_H-M_alt 'P 4/m b m'
_space_group_IT_number 127
_space_group_name_Hall '-P 4 2ab'
_cell_length_a 7.930
_cell_length_b 7.930
_cell_length_c 4.024
_cell_angle_alpha 90.00
_cell_angle_beta 90.00
_cell_angle_gamma 90.00
loop_
_atom_site_label
_atom_site_fract_x
_atom_site_fract_y
_atom_site_fract_z
Te1 0.148 0.352 0.000
As1 0.191 0.691 0.500
Au1 0.000 0.000 0.500



6.
# Te2AsAu, optimized geometry, DFT PBE-GGA
# - total DFT energy (no corrections) (eV/atom) = -3.347
# - N(E_F) (states/eV/cell) = 4.6
data_Te2AsAu
_chemical_formula_sum 'Te4 As2 Au2'
_space_group_name_H-M_alt 'I m m 2'
_space_group_IT_number 44
_cell_length_a 3.873
_cell_length_b 3.906
_cell_length_c 13.590
_cell_angle_alpha 90.00
_cell_angle_beta 90.00
_cell_angle_gamma 90.00
loop_
_space_group_symop_operation_xyz
'x,y,z'
'-x,-y,z'
'-x,y,z'
'x,-y,z'
'x+1/2,y+1/2,z+1/2'
'-x+1/2,-y+1/2,z+1/2'
'-x+1/2,y+1/2,z+1/2'
'x+1/2,-y+1/2,z+1/2'
loop_
_atom_site_label
_atom_site_fract_x
_atom_site_fract_y
_atom_site_fract_z
Te1 0.000 0.000 0.000
Te2 0.000 0.500 0.253
As1 0.000 0.000 0.590
Au1 0.000 0.500 0.830



7.
# Te2AsAu, optimized geometry, DFT PBE-GGA
# - total DFT energy (no corrections) (eV/atom) = -3.492
# - N(E_F) (states/eV/cell) = 2.0
data_Te2AsAu
_chemical_formula_sum 'Te4 As2 Au2'
_space_group_name_H-M_alt 'C 1 m 1'
_space_group_IT_number 8
_cell_length_a 13.513
_cell_length_b 3.993
_cell_length_c 4.140
_cell_angle_alpha 90.00
_cell_angle_beta 91.27
_cell_angle_gamma 90.00
loop_
_space_group_symop_operation_xyz
'x,y,z'
'x,-y,z'
'x+1/2,y+1/2,z'
'x+1/2,-y+1/2,z'
loop_
_atom_site_label
_atom_site_fract_x
_atom_site_fract_y
_atom_site_fract_z
Te1 0.000 0.000 0.000
Te2 0.242 0.000 0.722
As1 0.439 0.000 0.603
Au1 0.240 0.500 0.225



8.
# Te2AsAu, optimized geometry, DFT PBE-GGA
# - total DFT energy (no corrections) (eV/atom) = -3.500
# - N(E_F) (states/eV/cell) = 2.7
data_Te2AsAu
_chemical_formula_sum 'Te4 As2 Au2'
_space_group_name_H-M_alt 'C 1 2/m 1'
_space_group_IT_number 12
_cell_length_a 8.207
_cell_length_b 8.216
_cell_length_c 3.054
_cell_angle_alpha 90.00
_cell_angle_beta 91.83
_cell_angle_gamma 90.00
loop_
_space_group_symop_operation_xyz
'x,y,z'
'-x,-y,-z'
'-x,y,-z'
'x,-y,z'
'x+1/2,y+1/2,z'
'-x+1/2,-y+1/2,-z'
'-x+1/2,y+1/2,-z'
'x+1/2,-y+1/2,z'
loop_
_atom_site_label
_atom_site_fract_x
_atom_site_fract_y
_atom_site_fract_z
Te1 0.250 0.250 0.000
As1 0.000 0.000 0.000
Au1 0.000 0.500 0.000



9.
# TeAs2Au, optimized geometry, DFT PBE-GGA
# - total DFT energy (no corrections) (eV/atom) = -3.627
# - N(E_F) (states/eV/cell) = 4.0
data_TeAs2Au
_chemical_formula_sum 'Te2 As4 Au2'
_space_group_name_H-M_alt 'I m m m'
_space_group_IT_number 71
_space_group_name_Hall '-I 2 2'
_cell_length_a 4.304
_cell_length_b 5.376
_cell_length_c 8.854
_cell_angle_alpha 90.00
_cell_angle_beta 90.00
_cell_angle_gamma 90.00
loop_
_atom_site_label
_atom_site_fract_x
_atom_site_fract_y
_atom_site_fract_z
Te1 0.000 0.000 0.000
As1 0.000 0.500 0.158
Au1 0.000 0.000 0.500



10.
# TeAsAu, optimized geometry, DFT PBE-GGA
# - total DFT energy (no corrections) (eV/atom) = -3.704
# - N(E_F) (states/eV/cell) = 3.4
data_TeAsAu
_chemical_formula_sum 'Te4 As4 Au4'
_space_group_name_H-M_alt 'C 1 m 1'
_space_group_IT_number 8
_cell_length_a 8.225
_cell_length_b 6.457
_cell_length_c 6.181
_cell_angle_alpha 90.00
_cell_angle_beta 103.67
_cell_angle_gamma 90.00
loop_
_space_group_symop_operation_xyz
'x,y,z'
'x,-y,z'
'x+1/2,y+1/2,z'
'x+1/2,-y+1/2,z'
loop_
_atom_site_label
_atom_site_fract_x
_atom_site_fract_y
_atom_site_fract_z
Te1 0.000 0.245 0.000
As1 0.084 0.196 0.561
Au1 0.296 0.254 0.307



11.
# TeAsAu, optimized geometry, DFT PBE-GGA
# - total DFT energy (no corrections) (eV/atom) = -3.699
# - N(E_F) (states/eV/cell) = 2.6
data_TeAsAu
_chemical_formula_sum 'Te4 As4 Au4'
_space_group_name_H-M_alt 'C 1 2 1'
_space_group_IT_number 5
_cell_length_a 13.011
_cell_length_b 6.399
_cell_length_c 4.071
_cell_angle_alpha 90.00
_cell_angle_beta 103.97
_cell_angle_gamma 90.00
loop_
_space_group_symop_operation_xyz
'x,y,z'
'-x,y,-z'
'x+1/2,y+1/2,z'
'-x+1/2,y+1/2,-z'
loop_
_atom_site_label
_atom_site_fract_x
_atom_site_fract_y
_atom_site_fract_z
Te1 0.123 0.000 0.389
As1 0.104 0.589 0.427
Au1 0.231 0.541 0.008



12.
# Th4Te2AsAu, optimized geometry, DFT PBE-GGA
# - total DFT energy (no corrections) (eV/atom) = -6.525
# - N(E_F) (states/eV/cell) = 6.6
data_Th4Te2AsAu
_chemical_formula_sum 'Th4 Te2 As1 Au1'
_space_group_name_H-M_alt 'P 1 2/m 1'
_space_group_IT_number 10
_cell_length_a 7.586
_cell_length_b 4.340
_cell_length_c 7.714
_cell_angle_alpha 90.00
_cell_angle_beta 108.91
_cell_angle_gamma 90.00
loop_
_space_group_symop_operation_xyz
'x,y,z'
'-x,-y,-z'
'-x,y,-z'
'x,-y,z'
loop_
_atom_site_label
_atom_site_fract_x
_atom_site_fract_y
_atom_site_fract_z
Th1 0.236 0.000 0.223
Th2 0.260 0.500 0.778
Te1 0.000 0.000 0.500
Te2 0.500 0.500 0.500
As1 0.000 0.500 0.000
Au1 0.500 0.000 0.000



> Which of these has the highest N(E_F)?

Te4AsAu